# 1
Material: Tm5ZnCu4
Method: DFT, GGA-PBE
State: relaxed

Cell: 3.424 3.424 17.208 Å, 90.00 90.00 90.00°
Space group P4/mmm (No. 123)
Inequivalent atoms, fractional coordinates:
Tm 0.000 0.000 0.000
Tm 0.000 0.000 0.199
Tm 0.000 0.000 0.396
Zn 0.500 0.500 0.500
Cu 0.500 0.500 0.099
Cu 0.500 0.500 0.299

Output
Formation energy from the elements   -303 meV per atom
Raw total energy   -4.153 eV per atom

***

# 2
Material: TmZnCu
Method: DFT, GGA-PBE
State: relaxed

Cell: 6.425 6.425 6.425 Å, 90.00 90.00 90.00°
Space group F-43m (No. 216)
Inequivalent atoms, fractional coordinates:
Tm 0.000 0.000 0.000
Zn 0.250 0.250 0.250
Cu 0.250 0.250 0.750

Output
Formation energy from the elements   296 meV per atom
Raw total energy   -2.856 eV per atom

***

# 3
Material: TmZn8Cu4
Method: DFT, GGA-PBE
State: relaxed

Cell: 8.731 8.731 4.952 Å, 90.00 90.00 90.00°
Space group I4/mmm (No. 139)
Inequivalent atoms, fractional coordinates:
Tm 0.000 0.000 0.000
Zn 0.000 0.217 0.500
Zn 0.000 0.347 0.000
Cu 0.250 0.250 0.250

Output
Formation energy from the elements   -196 meV per atom
Raw total energy   -2.462 eV per atom

***

# 4
Material: TmZnCu
Method: DFT, GGA-PBE
State: relaxed

Cell: 6.250 6.250 6.250 Å, 90.00 90.00 90.00°
Space group F-43m (No. 216)
Inequivalent atoms, fractional coordinates:
Tm 0.000 0.000 0.000
Zn 0.000 0.000 0.500
Cu 0.250 0.250 0.250

Output
Formation energy from the elements   -135 meV per atom
Raw total energy   -3.288 eV per atom

***

# 5
Material: TmZrCu6
Method: DFT, GGA-PBE
State: relaxed

Cell: 4.471 5.699 4.702 Å, 90.00 90.00 90.00°
Space group Pmm2 (No. 25)
Inequivalent atoms, fractional coordinates:
Tm 0.000 0.000 0.000
Zr 0.500 0.500 0.697
Cu 0.000 0.268 0.505
Cu 0.000 0.500 0.039
Cu 0.500 0.000 0.627
Cu 0.500 0.261 0.195

Output
Formation energy from the elements   -154 meV per atom
Raw total energy   -4.570 eV per atom

***

# 6
Material: TmZrCu
Method: DFT, GGA-PBE
State: relaxed

Cell: 6.478 6.478 6.478 Å, 90.00 90.00 90.00°
Space group F-43m (No. 216)
Inequivalent atoms, fractional coordinates:
Tm 0.000 0.000 0.000
Zr 0.250 0.250 0.250
Cu 0.250 0.250 0.750

Output
Formation energy from the elements   967 meV per atom
Raw total energy   -4.613 eV per atom

***

# 7
Material: UCu
Method: DFT, GGA-PBE
State: relaxed

Cell: 5.502 5.502 5.502 Å, 90.00 90.00 90.00°
Space group Fm-3m (No. 225)
Inequivalent atoms, fractional coordinates:
U 0.000 0.000 0.000
Cu 0.000 0.000 0.500

Output
Formation energy from the elements   2451 meV per atom
Raw total energy   -5.056 eV per atom

***

# 8
Material: UCu
Method: DFT, GGA-PBE
State: relaxed

Cell: 2.8421 2.8421 5.0628 Å, 90.00 90.00 120.00°
Space group P-6m2 (No. 187)
Inequivalent atoms, fractional coordinates:
U 0.0000 0.0000 0.0000
Cu 0.3333 0.6667 0.5000

Output
Formation energy from the elements   334 meV per atom
Raw total energy   -7.173 eV per atom

***

# 9
Material: UCu
Method: DFT, GGA-PBE
State: relaxed

Cell: 6.113 6.113 6.113 Å, 90.00 90.00 90.00°
Space group F-43m (No. 216)
Inequivalent atoms, fractional coordinates:
U 0.000 0.000 0.000
Cu 0.250 0.250 0.250

Output
Formation energy from the elements   2921 meV per atom
Raw total energy   -4.585 eV per atom

***

# 10
Material: UZnCu
Method: DFT, GGA-PBE
State: relaxed

Cell: 6.544 6.544 6.544 Å, 90.00 90.00 90.00°
Space group F-43m (No. 216)
Inequivalent atoms, fractional coordinates:
U 0.000 0.000 0.000
Zn 0.250 0.250 0.250
Cu 0.250 0.250 0.750

Output
Formation energy from the elements   1116 meV per atom
Raw total energy   -4.310 eV per atom

***

# 11
Material: UZnCu
Method: DFT, GGA-PBE
State: relaxed

Cell: 6.235 6.235 6.235 Å, 90.00 90.00 90.00°
Space group F-43m (No. 216)
Inequivalent atoms, fractional coordinates:
U 0.000 0.000 0.000
Zn 0.000 0.000 0.500
Cu 0.250 0.250 0.250

Output
Formation energy from the elements   735 meV per atom
Raw total energy   -4.691 eV per atom

***

# 12
Material: YZnCuW
Method: DFT, GGA-PBE
State: relaxed

Cell: 6.616 6.616 6.616 Å, 90.00 90.00 90.00°
Space group F-43m (No. 216)
Inequivalent atoms, fractional coordinates:
Y 0.000 0.000 0.000
Zn 0.250 0.250 0.250
Cu 0.000 0.000 0.500
W 0.250 0.250 0.750

Output
Formation energy from the elements   710 meV per atom
Distance to the lowest polymorph of the same formula   5.8 kJ/mol of atoms
Raw total energy   -5.392 eV per atom

***

The highest raw total energy belongs to which entry?
TmZn8Cu4